*one*
The following is a PBE-GGA calculation of an optimized crystal structure of Pm2Ge2O7, from OQMD.

Results
Size of the total moment   0.000 μB/atom

The structure in CIF format:
```
data_Pm2Ge2O7
_symmetry_space_group_name_H-M 'C 1 2/m 1'
_symmetry_Int_Tables_number 12
_cell_length_a 7.2044
_cell_length_b 9.3997
_cell_length_c 4.9769
_cell_angle_alpha 90.00
_cell_angle_beta 101.89
_cell_angle_gamma 90.00
loop_
_symmetry_equiv_pos_as_xyz
'x,y,z'
'-x,-y,-z'
'-x,y,-z'
'x,-y,z'
'x+1/2,y+1/2,z'
'-x+1/2,-y+1/2,-z'
'-x+1/2,y+1/2,-z'
'x+1/2,-y+1/2,z'
loop_
_atom_site_label
_atom_site_fract_x
_atom_site_fract_y
_atom_site_fract_z
Pm1 0.0000 0.1963 0.0000
Ge1 0.2252 0.5000 0.4103
O1 0.0000 0.5000 0.5000
O2 0.1078 0.0000 0.2789
O3 0.2398 0.3454 0.2162
```

*two*
The following is a PBE-GGA calculation of an optimized crystal structure of Pm2Ge2O7, from OQMD.

Results
Size of the total moment   0.000 μB/atom

The structure in CIF format:
```
data_Pm2Ge2O7
_symmetry_space_group_name_H-M 'P -1'
_symmetry_Int_Tables_number 2
_cell_length_a 6.9021
_cell_length_b 6.9230
_cell_length_c 12.4874
_cell_angle_alpha 93.89
_cell_angle_beta 90.85
_cell_angle_gamma 91.52
loop_
_symmetry_equiv_pos_as_xyz
'x,y,z'
'-x,-y,-z'
loop_
_atom_site_label
_atom_site_fract_x
_atom_site_fract_y
_atom_site_fract_z
Pm1 0.0501 0.3292 0.1154
Pm2 0.1170 0.0823 0.3609
Pm3 0.3213 0.8300 0.1121
Pm4 0.3705 0.2373 0.6278
Ge1 0.1433 0.6164 0.3832
Ge2 0.1632 0.1482 0.8831
Ge3 0.3785 0.7356 0.6008
Ge4 0.4881 0.6716 0.8335
O1 0.0020 0.6623 0.0817
O2 0.0073 0.0141 0.1847
O3 0.0388 0.2271 0.5680
O4 0.0672 0.4037 0.3110
O5 0.2223 0.9234 0.6224
O6 0.2466 0.0983 0.0112
O7 0.2904 0.7809 0.3136
O8 0.2933 0.7226 0.9167
O9 0.3011 0.5592 0.4933
O10 0.3493 0.4921 0.1194
O11 0.3623 0.2114 0.8090
O12 0.3783 0.1343 0.2171
O13 0.3887 0.5659 0.7021
O14 0.4095 0.1592 0.4465
```

Winner for stability: *two*

*one*
The following is a PBE-GGA calculation of an optimized crystal structure of Pr2Ge2O5, from OQMD.

Results
Size of the total moment   0.000 μB/atom

The structure in CIF format:
```
data_Pr2Ge2O5
_symmetry_space_group_name_H-M 'P 4/m m m'
_symmetry_Int_Tables_number 123
_symmetry_space_group_name_Hall '-P 4 2'
_cell_length_a 4.1194
_cell_length_b 4.1194
_cell_length_c 6.9410
_cell_angle_alpha 90.00
_cell_angle_beta 90.00
_cell_angle_gamma 90.00
loop_
_atom_site_label
_atom_site_fract_x
_atom_site_fract_y
_atom_site_fract_z
Pr1 0.0000 0.0000 0.0000
Pr2 0.0000 0.0000 0.5000
Ge1 0.5000 0.5000 0.2238
O1 0.0000 0.5000 0.2406
O2 0.5000 0.5000 0.5000
```

*two*
The following is a PBE-GGA calculation of an optimized crystal structure of Pr2Ge2O5, from OQMD.

Results
Size of the total moment   0.000 μB/atom

The structure in CIF format:
```
data_Pr2Ge2O5
_symmetry_space_group_name_H-M 'P 4/m m m'
_symmetry_Int_Tables_number 123
_symmetry_space_group_name_Hall '-P 4 2'
_cell_length_a 3.6806
_cell_length_b 3.6806
_cell_length_c 9.9535
_cell_angle_alpha 90.00
_cell_angle_beta 90.00
_cell_angle_gamma 90.00
loop_
_atom_site_label
_atom_site_fract_x
_atom_site_fract_y
_atom_site_fract_z
Pr1 0.0000 0.0000 0.2446
Ge1 0.5000 0.5000 0.0000
Ge2 0.5000 0.5000 0.5000
O1 0.0000 0.0000 0.0000
O2 0.0000 0.5000 0.3800
```

Winner for stability: *one*

*one*
The following is a PBE-GGA calculation of an optimized crystal structure of Ge2Pt2O5, from OQMD.

Results
Size of the total moment   0.000 μB/atom

The structure in CIF format:
```
data_Ge2Pt2O5
_symmetry_space_group_name_H-M 'P 4/m m m'
_symmetry_Int_Tables_number 123
_symmetry_space_group_name_Hall '-P 4 2'
_cell_length_a 3.9518
_cell_length_b 3.9518
_cell_length_c 6.8813
_cell_angle_alpha 90.00
_cell_angle_beta 90.00
_cell_angle_gamma 90.00
loop_
_atom_site_label
_atom_site_fract_x
_atom_site_fract_y
_atom_site_fract_z
Ge1 0.0000 0.0000 0.0000
Ge2 0.0000 0.0000 0.5000
Pt1 0.5000 0.5000 0.1905
O1 0.0000 0.5000 0.2446
O2 0.5000 0.5000 0.5000
```

*two*
The following is a PBE-GGA calculation of an optimized crystal structure of Ge2Pt2O5, from OQMD.

Results
Size of the total moment   0.274 μB/atom

The structure in CIF format:
```
data_Ge2Pt2O5
_symmetry_space_group_name_H-M 'P 4/m m m'
_symmetry_Int_Tables_number 123
_symmetry_space_group_name_Hall '-P 4 2'
_cell_length_a 3.6166
_cell_length_b 3.6166
_cell_length_c 8.1104
_cell_angle_alpha 90.00
_cell_angle_beta 90.00
_cell_angle_gamma 90.00
loop_
_atom_site_label
_atom_site_fract_x
_atom_site_fract_y
_atom_site_fract_z
Ge1 0.0000 0.0000 0.2320
Pt1 0.5000 0.5000 0.0000
Pt2 0.5000 0.5000 0.5000
O1 0.0000 0.0000 0.0000
O2 0.0000 0.5000 0.3167
```

Winner for stability: *two*

*one*
The following is a PBE-GGA calculation of an optimized crystal structure of GePtSO, from OQMD.

Results
Size of the total moment   0.000 μB/atom

The structure in CIF format:
```
data_GePtSO
_symmetry_space_group_name_H-M 'P c a 21'
_symmetry_Int_Tables_number 29
_cell_length_a 6.0358
_cell_length_b 6.9387
_cell_length_c 5.9687
_cell_angle_alpha 90.00
_cell_angle_beta 90.00
_cell_angle_gamma 90.00
loop_
_symmetry_equiv_pos_as_xyz
'x,y,z'
'-x,-y,z+1/2'
'-x+1/2,y,z+1/2'
'x+1/2,-y,z'
loop_
_atom_site_label
_atom_site_fract_x
_atom_site_fract_y
_atom_site_fract_z
Ge1 0.1273 0.1967 0.0000
Pt1 0.0002 0.3045 0.6290
S1 0.1110 0.6115 0.7348
O1 0.1495 0.9578 0.0863
```

*two*
The following is a PBE-GGA calculation of an optimized crystal structure of GePtSO, from OQMD.

Results
Size of the total moment   0.000 μB/atom

The structure in CIF format:
```
data_GePtSO
_symmetry_space_group_name_H-M 'P 4/n m m'
_symmetry_Int_Tables_number 129
_cell_length_a 4.4438
_cell_length_b 4.4438
_cell_length_c 7.9763
_cell_angle_alpha 90.00
_cell_angle_beta 90.00
_cell_angle_gamma 90.00
loop_
_symmetry_equiv_pos_as_xyz
'x,y,z'
'-x,-y,-z'
'-y+1/2,x,z'
'y+1/2,-x,-z'
'-x+1/2,-y+1/2,z'
'x+1/2,y+1/2,-z'
'y,-x+1/2,z'
'-y,x+1/2,-z'
'x+1/2,-y,-z'
'-x+1/2,y,z'
'-y,-x,-z'
'y,x,z'
'-x,y+1/2,-z'
'x,-y+1/2,z'
'y+1/2,x+1/2,-z'
'-y+1/2,-x+1/2,z'
loop_
_atom_site_label
_atom_site_fract_x
_atom_site_fract_y
_atom_site_fract_z
Ge1 0.2500 0.2500 0.1300
Pt1 0.2500 0.2500 0.5946
S1 0.2500 0.7500 0.5000
O1 0.2500 0.2500 0.9172
```

Winner for stability: *one*

*one*
The following is a PBE-GGA calculation of an optimized crystal structure of GePtSO, from OQMD.

Results
Size of the total moment   0.003 μB/atom

The structure in CIF format:
```
data_GePtSO
_symmetry_space_group_name_H-M 'P 4/n m m'
_symmetry_Int_Tables_number 129
_cell_length_a 3.7339
_cell_length_b 3.7339
_cell_length_c 10.8221
_cell_angle_alpha 90.00
_cell_angle_beta 90.00
_cell_angle_gamma 90.00
loop_
_symmetry_equiv_pos_as_xyz
'x,y,z'
'-x,-y,-z'
'-y+1/2,x,z'
'y+1/2,-x,-z'
'-x+1/2,-y+1/2,z'
'x+1/2,y+1/2,-z'
'y,-x+1/2,z'
'-y,x+1/2,-z'
'x+1/2,-y,-z'
'-x+1/2,y,z'
'-y,-x,-z'
'y,x,z'
'-x,y+1/2,-z'
'x,-y+1/2,z'
'y+1/2,x+1/2,-z'
'-y+1/2,-x+1/2,z'
loop_
_atom_site_label
_atom_site_fract_x
_atom_site_fract_y
_atom_site_fract_z
Ge1 0.2500 0.2500 0.0986
Pt1 0.2500 0.7500 0.5000
S1 0.2500 0.2500 0.6476
O1 0.2500 0.2500 0.9323
```

*two*
The following is a PBE-GGA calculation of an optimized crystal structure of GePtSO, from OQMD.

Results
Size of the total moment   0.000 μB/atom

The structure in CIF format:
```
data_GePtSO
_symmetry_space_group_name_H-M 'P 21 21 21'
_symmetry_Int_Tables_number 19
_cell_length_a 5.1417
_cell_length_b 7.6557
_cell_length_c 8.5527
_cell_angle_alpha 90.00
_cell_angle_beta 90.00
_cell_angle_gamma 90.00
loop_
_symmetry_equiv_pos_as_xyz
'x,y,z'
'-x+1/2,-y,z+1/2'
'x+1/2,-y+1/2,-z'
'-x,y+1/2,-z+1/2'
loop_
_atom_site_label
_atom_site_fract_x
_atom_site_fract_y
_atom_site_fract_z
Ge1 0.1328 0.1998 0.1088
Pt1 0.2398 0.7256 0.0169
S1 0.0121 0.3905 0.3220
O1 0.0266 0.7670 0.5694
```

*three*
The following is a PBE-GGA calculation of an optimized crystal structure of GePtSO, from OQMD.

Results
Size of the total moment   0.000 μB/atom

The structure in CIF format:
```
data_GePtSO
_symmetry_space_group_name_H-M 'P 21 21 21'
_symmetry_Int_Tables_number 19
_cell_length_a 4.5184
_cell_length_b 6.5677
_cell_length_c 9.0170
_cell_angle_alpha 90.00
_cell_angle_beta 90.00
_cell_angle_gamma 90.00
loop_
_symmetry_equiv_pos_as_xyz
'x,y,z'
'-x+1/2,-y,z+1/2'
'x+1/2,-y+1/2,-z'
'-x,y+1/2,-z+1/2'
loop_
_atom_site_label
_atom_site_fract_x
_atom_site_fract_y
_atom_site_fract_z
Ge1 0.1417 0.1748 0.1241
Pt1 0.2423 0.1719 0.7303
S1 0.0720 0.6996 0.0149
O1 0.0194 0.6750 0.5719
```

Winner for stability: *two*

*one*
The following is a PBE-GGA calculation of an optimized crystal structure of GePtSO, from OQMD.

Results
Size of the total moment   0.001 μB/atom

The structure in CIF format:
```
data_GePtSO
_symmetry_space_group_name_H-M 'P 4/n m m'
_symmetry_Int_Tables_number 129
_cell_length_a 4.0432
_cell_length_b 4.0432
_cell_length_c 8.4343
_cell_angle_alpha 90.00
_cell_angle_beta 90.00
_cell_angle_gamma 90.00
loop_
_symmetry_equiv_pos_as_xyz
'x,y,z'
'-x,-y,-z'
'-y+1/2,x,z'
'y+1/2,-x,-z'
'-x+1/2,-y+1/2,z'
'x+1/2,y+1/2,-z'
'y,-x+1/2,z'
'-y,x+1/2,-z'
'x+1/2,-y,-z'
'-x+1/2,y,z'
'-y,-x,-z'
'y,x,z'
'-x,y+1/2,-z'
'x,-y+1/2,z'
'y+1/2,x+1/2,-z'
'-y+1/2,-x+1/2,z'
loop_
_atom_site_label
_atom_site_fract_x
_atom_site_fract_y
_atom_site_fract_z
Ge1 0.2500 0.2500 0.1551
Pt1 0.2500 0.2500 0.5641
S1 0.2500 0.2500 0.8689
O1 0.2500 0.7500 0.5000
```

*two*
The following is a PBE-GGA calculation of an optimized crystal structure of GePtSO, from OQMD.

Results
Size of the total moment   0.000 μB/atom

The structure in CIF format:
```
data_GePtSO
_symmetry_space_group_name_H-M 'P b c a'
_symmetry_Int_Tables_number 61
_cell_length_a 5.4718
_cell_length_b 6.6983
_cell_length_c 14.1099
_cell_angle_alpha 90.00
_cell_angle_beta 90.00
_cell_angle_gamma 90.00
loop_
_symmetry_equiv_pos_as_xyz
'x,y,z'
'-x,-y,-z'
'-x+1/2,-y,z+1/2'
'x+1/2,y,-z+1/2'
'x+1/2,-y+1/2,-z'
'-x+1/2,y+1/2,z'
'-x,y+1/2,-z+1/2'
'x,-y+1/2,z+1/2'
loop_
_atom_site_label
_atom_site_fract_x
_atom_site_fract_y
_atom_site_fract_z
Ge1 0.1689 0.2471 0.1223
Pt1 0.0000 0.0028 0.7500
S1 0.2490 0.0021 0.5033
O1 0.0071 0.7473 0.1665
```

*three*
The following is a PBE-GGA calculation of an optimized crystal structure of GePtSO, from OQMD.

Results
Size of the total moment   0.009 μB/atom

The structure in CIF format:
```
data_GePtSO
_symmetry_space_group_name_H-M 'P 4/n m m'
_symmetry_Int_Tables_number 129
_cell_length_a 4.2010
_cell_length_b 4.2010
_cell_length_c 7.6932
_cell_angle_alpha 90.00
_cell_angle_beta 90.00
_cell_angle_gamma 90.00
loop_
_symmetry_equiv_pos_as_xyz
'x,y,z'
'-x,-y,-z'
'-y+1/2,x,z'
'y+1/2,-x,-z'
'-x+1/2,-y+1/2,z'
'x+1/2,y+1/2,-z'
'y,-x+1/2,z'
'-y,x+1/2,-z'
'x+1/2,-y,-z'
'-x+1/2,y,z'
'-y,-x,-z'
'y,x,z'
'-x,y+1/2,-z'
'x,-y+1/2,z'
'y+1/2,x+1/2,-z'
'-y+1/2,-x+1/2,z'
loop_
_atom_site_label
_atom_site_fract_x
_atom_site_fract_y
_atom_site_fract_z
Ge1 0.2500 0.7500 0.0000
Pt1 0.2500 0.2500 0.1741
S1 0.2500 0.2500 0.6924
O1 0.2500 0.2500 0.4969
```

Winner for stability: *two*

*one*
The following is a PBE-GGA calculation of an optimized crystal structure of GePtSeO, from OQMD.

Results
Size of the total moment   0.000 μB/atom

The structure in CIF format:
```
data_GePtSeO
_symmetry_space_group_name_H-M 'P 4/n m m'
_symmetry_Int_Tables_number 129
_cell_length_a 4.1768
_cell_length_b 4.1768
_cell_length_c 8.0274
_cell_angle_alpha 90.00
_cell_angle_beta 90.00
_cell_angle_gamma 90.00
loop_
_symmetry_equiv_pos_as_xyz
'x,y,z'
'-x,-y,-z'
'-y+1/2,x,z'
'y+1/2,-x,-z'
'-x+1/2,-y+1/2,z'
'x+1/2,y+1/2,-z'
'y,-x+1/2,z'
'-y,x+1/2,-z'
'x+1/2,-y,-z'
'-x+1/2,y,z'
'-y,-x,-z'
'y,x,z'
'-x,y+1/2,-z'
'x,-y+1/2,z'
'y+1/2,x+1/2,-z'
'-y+1/2,-x+1/2,z'
loop_
_atom_site_label
_atom_site_fract_x
_atom_site_fract_y
_atom_site_fract_z
Ge1 0.2500 0.7500 0.0000
Pt1 0.2500 0.2500 0.1793
Se1 0.2500 0.2500 0.6836
O1 0.2500 0.2500 0.4736
```

*two*
The following is a PBE-GGA calculation of an optimized crystal structure of GePtSeO, from OQMD.

Results
Size of the total moment   0.000 μB/atom

The structure in CIF format:
```
data_GePtSeO
_symmetry_space_group_name_H-M 'P 21 21 21'
_symmetry_Int_Tables_number 19
_cell_length_a 5.0191
_cell_length_b 8.1541
_cell_length_c 8.8633
_cell_angle_alpha 90.00
_cell_angle_beta 90.00
_cell_angle_gamma 90.00
loop_
_symmetry_equiv_pos_as_xyz
'x,y,z'
'-x+1/2,-y,z+1/2'
'x+1/2,-y+1/2,-z'
'-x,y+1/2,-z+1/2'
loop_
_atom_site_label
_atom_site_fract_x
_atom_site_fract_y
_atom_site_fract_z
Ge1 0.1575 0.2050 0.1075
Pt1 0.2337 0.7221 0.0221
Se1 0.0210 0.4049 0.3175
O1 0.0079 0.2681 0.9304
```

Winner for stability: *two*